The following is a DFT calculation (GGA-PBE) of a relaxed BiW3Se crystal.

Calculated values
Energy relative to the elements, uncorrected (meV/atom): 1618
Energy relative to the lowest polymorph listed for this composition (eV per formula unit): 0.00
DFT total energy (Ha/atom): -0.2803

Cell lengths 4.709, 4.709, 4.709 Å; angles 90.00, 90.00, 90.00 degrees
Positions (direct):
Se (0.000, 0.000, 0.000)
Bi (0.500, 0.500, 0.500)
W (0.000, 0.500, 0.000)
W (0.000, 0.000, 0.500)
W (0.500, 0.000, 0.000)

The following is a DFT calculation (GGA-PBE) of a relaxed BeAlSe2 crystal.

Calculated values
Energy relative to the elements, uncorrected (meV/atom): -354
Energy relative to the lowest polymorph listed for this composition (eV per formula unit): 0.22
DFT total energy (Ha/atom): -0.1456

Cell lengths 3.670, 3.670, 6.354 Å; angles 73.19, 73.19, 60.08 degrees
Positions (direct):
Be (0.750, 0.750, 0.750)
Al (0.250, 0.250, 0.250)
Se (0.007, 0.007, 0.978)
Se (0.493, 0.493, 0.522)